[1]
An optimized crystal structure of MnCd2NiRh, computed with PBE.

The space group is P4/mmm (No. 123) and the conventional cell measures 4.751, 4.751 and 4.480 Å, with angles of 90.00, 90.00 and 90.00 degrees. The inequivalent atoms are Mn at (0.000, 0.000, 0.000), Cd at (0.000, 0.500, 0.500), Ni at (0.500, 0.500, 0.500) and Rh at (0.500, 0.500, 0.000).



[2]
An optimized crystal structure of Ti3Co2W, computed with PBE.

The space group is P4/mmm (No. 123) and the conventional cell measures 3.060, 3.060 and 9.084 Å, with angles of 90.00, 90.00 and 90.00 degrees. The inequivalent atoms are Ti at (0.000, 0.000, 0.000), Ti at (0.000, 0.000, 0.323), Co at (0.500, 0.500, 0.154) and W at (0.500, 0.500, 0.500).



| no. | energy of formation (kcal/mol of atoms) |
| --- | --- |
| 1 | 28.13 |
| 2 | -5.94 |